This record from Alexandria describes a relaxed structure of LiMnF3. The functional is GGA+U.

abc: 7.103 7.247 7.984
angles: 84.82 76.74 89.85
Sites, in units of the cell vectors:
Li (0.073, 0.245, 0.166)
Li (0.260, 0.448, 0.412)
Li (0.414, 0.766, 0.828)
Li (0.586, 0.234, 0.172)
Li (0.740, 0.552, 0.588)
Li (0.927, 0.755, 0.834)
Mn (0.079, 0.751, 0.212)
Mn (0.237, 0.957, 0.543)
Mn (0.435, 0.265, 0.764)
Mn (0.565, 0.735, 0.236)
Mn (0.763, 0.043, 0.457)
Mn (0.921, 0.249, 0.788)
F (0.092, 0.014, 0.323)
F (0.099, 0.467, 0.255)
F (0.151, 0.237, 0.926)
F (0.179, 0.819, 0.790)
F (0.221, 0.250, 0.587)
F (0.262, 0.706, 0.423)
F (0.375, 0.782, 0.067)
F (0.487, 0.548, 0.726)
F (0.498, 0.006, 0.331)
F (0.502, 0.994, 0.669)
F (0.513, 0.452, 0.274)
F (0.625, 0.218, 0.933)
F (0.738, 0.294, 0.577)
F (0.779, 0.750, 0.413)
F (0.821, 0.181, 0.210)
F (0.849, 0.763, 0.074)
F (0.901, 0.533, 0.745)
F (0.908, 0.986, 0.677)

Output
Polymorph energy (0 for the lowest one) = 42 meV/atom
Energy = -5.730 eV per atom
Space group = P-1 (2)